The following is a DFT calculation (PBE-GGA) of a relaxed Cd2P crystal.

The structure in POSCAR format:
```
Cd2P
1.0
3.8957 0.0000 0.0000
-1.9479 6.1570 -0.1529
0.0000 -0.7186 2.7356
Cd P
2 1
direct
0.6614 0.3228 0.1544
0.3386 0.6772 0.8456
0.0000 0.0000 0.0000
```

energy of formation from the pure elements: 0.232 eV per atom
energy relative to the lowest polymorph listed for this composition: 142 meV per atom
space-group type: No. 12

***

The following is a DFT calculation (PBE-GGA) of a relaxed CsNiB2Cl crystal.

The structure in POSCAR format:
```
CsNiB2Cl
1.0
-1.4115 4.1726 3.4109
0.6237 -2.9700 3.8913
5.3431 1.5442 0.3221
Cs Ni B Cl
1 1 2 1
direct
0.0000 0.0000 0.0000
0.0000 0.5000 0.0000
0.0000 0.0000 0.5000
0.5000 0.0000 0.0000
0.5000 0.5000 0.5000
```

raw formation energy: 13.7 eV per formula unit
space-group type: No. 123

***

The following is a DFT calculation (PBE-GGA) of a relaxed Al2VNiSn crystal.

The structure in POSCAR format:
```
Al2VNiSn
1.0
4.8751 0.0000 0.0000
0.0000 4.3447 0.0000
0.0000 0.0000 4.8751
Ni Al Sn V
1 2 1 1
direct
0.0000 0.5000 0.0000
0.0000 0.0000 0.5000
0.5000 0.0000 0.0000
0.5000 0.5000 0.5000
0.0000 0.0000 0.0000
```

energy of formation from the pure elements: 0.707 eV per atom
space-group type: No. 123

***

no.,electronic total energy (eV per atom)
1,-2.1817
2,-1.6249
3,-4.5703